[1]
This record from Alexandria via LeMat-Bulk describes BaNdCdGa after structural relaxation. The functional is GGA-PBE.

```
data_BaNdCdGa
_chemical_formula_sum 'Ba1 Nd1 Cd1 Ga1'
_symmetry_space_group_name_H-M 'P 1'
_symmetry_Int_Tables_number 1
_cell_length_a 5.614
_cell_length_b 5.614
_cell_length_c 5.614
_cell_angle_alpha 60.00
_cell_angle_beta 60.00
_cell_angle_gamma 60.00
loop_
_symmetry_equiv_pos_as_xyz
'x,y,z'
loop_
_atom_site_label
_atom_site_type_symbol
_atom_site_fract_x
_atom_site_fract_y
_atom_site_fract_z
Ba1 Ba 0.000 0.000 0.000
Nd1 Nd 0.500 0.500 0.500
Cd1 Cd 0.750 0.750 0.750
Ga1 Ga 0.250 0.250 0.250
```

DOS at the Fermi energy in states/eV/cell: 3.9
ΔH_f (0 K) in eV/f.u.: -1.058
Total energy in eV/atom: -2.923
Space-group type: No. 216

[2]
This record from Alexandria via LeMat-Bulk describes Ba2CdGaNi after structural relaxation. The functional is GGA-PBE.

```
data_Ba2CdGaNi
_chemical_formula_sum 'Ba2 Cd1 Ga1 Ni1'
_symmetry_space_group_name_H-M 'P 1'
_symmetry_Int_Tables_number 1
_cell_length_a 6.005
_cell_length_b 6.005
_cell_length_c 4.654
_cell_angle_alpha 90.00
_cell_angle_beta 90.00
_cell_angle_gamma 90.00
loop_
_symmetry_equiv_pos_as_xyz
'x,y,z'
loop_
_atom_site_label
_atom_site_type_symbol
_atom_site_fract_x
_atom_site_fract_y
_atom_site_fract_z
Ba1 Ba 0.000 0.500 0.000
Ba2 Ba 0.500 0.000 0.000
Cd1 Cd 0.000 0.000 0.500
Ga1 Ga 0.500 0.500 0.500
Ni1 Ni 0.500 0.500 0.000
```

DOS at the Fermi energy in states/eV/cell: 4.7
ΔH_f (0 K) in eV/f.u.: -1.040
Total energy in eV/atom: -2.922
Space-group type: No. 123

[3]
This record from Alexandria via LeMat-Bulk describes BaCd2GaO4 after structural relaxation. The functional is GGA-PBE.

```
data_BaCd2GaO4
_chemical_formula_sum 'Ba1 Cd2 Ga1 O4'
_symmetry_space_group_name_H-M 'P 1'
_symmetry_Int_Tables_number 1
_cell_length_a 5.615
_cell_length_b 5.615
_cell_length_c 5.615
_cell_angle_alpha 115.50
_cell_angle_beta 115.50
_cell_angle_gamma 98.00
loop_
_symmetry_equiv_pos_as_xyz
'x,y,z'
loop_
_atom_site_label
_atom_site_type_symbol
_atom_site_fract_x
_atom_site_fract_y
_atom_site_fract_z
Ba1 Ba 0.000 0.000 0.000
Cd1 Cd 0.250 0.750 0.500
Cd2 Cd 0.750 0.250 0.500
Ga1 Ga 0.500 0.500 0.000
O1 O 0.168 0.540 0.000
O2 O 0.460 0.460 0.629
O3 O 0.540 0.168 0.000
O4 O 0.832 0.832 0.371
```

DOS at the Fermi energy in states/eV/cell: 0.8
E_form (uncorrected) in kJ/mol of formula units: -1200
Total energy in eV/atom: -4.881
Space-group type: No. 121

[4]
This record from Alexandria via LeMat-Bulk describes Ba2CdGa4Pd3 after structural relaxation. The functional is GGA-PBE.

```
data_Ba2CdGa4Pd3
_chemical_formula_sum 'Ba2 Cd1 Ga4 Pd3'
_symmetry_space_group_name_H-M 'P 1'
_symmetry_Int_Tables_number 1
_cell_length_a 4.535
_cell_length_b 4.535
_cell_length_c 11.049
_cell_angle_alpha 90.00
_cell_angle_beta 90.00
_cell_angle_gamma 90.00
loop_
_symmetry_equiv_pos_as_xyz
'x,y,z'
loop_
_atom_site_label
_atom_site_type_symbol
_atom_site_fract_x
_atom_site_fract_y
_atom_site_fract_z
Ba1 Ba 0.000 0.500 0.244
Ba2 Ba 0.500 0.000 0.756
Cd1 Cd 0.000 0.000 0.500
Ga1 Ga 0.000 0.000 0.000
Ga2 Ga 0.000 0.500 0.635
Ga3 Ga 0.500 0.000 0.365
Ga4 Ga 0.500 0.500 0.000
Pd1 Pd 0.000 0.500 0.880
Pd2 Pd 0.500 0.000 0.120
Pd3 Pd 0.500 0.500 0.500
```

DOS at the Fermi energy in states/eV/cell: 6.3
ΔH_f (0 K) in eV/f.u.: -5.588
Total energy in eV/atom: -3.803
Space-group type: No. 115

[5]
This record from Alexandria via LeMat-Bulk describes BaCdGaPd after structural relaxation. The functional is GGA-PBE.

```
data_BaCdGaPd
_chemical_formula_sum 'Ba1 Cd1 Ga1 Pd1'
_symmetry_space_group_name_H-M 'P 1'
_symmetry_Int_Tables_number 1
_cell_length_a 6.608
_cell_length_b 6.608
_cell_length_c 6.608
_cell_angle_alpha 40.25
_cell_angle_beta 40.25
_cell_angle_gamma 40.25
loop_
_symmetry_equiv_pos_as_xyz
'x,y,z'
loop_
_atom_site_label
_atom_site_type_symbol
_atom_site_fract_x
_atom_site_fract_y
_atom_site_fract_z
Ba1 Ba 0.000 0.000 0.000
Cd1 Cd 0.805 0.805 0.805
Ga1 Ga 0.205 0.205 0.205
Pd1 Pd 0.533 0.533 0.533
```

DOS at the Fermi energy in states/eV/cell: 2.6
ΔH_f (0 K) in eV/f.u.: -1.822
Total energy in eV/atom: -3.220
Space-group type: No. 160

[6]
This record from Alexandria via LeMat-Bulk describes BaCdGaPd3 after structural relaxation. The functional is GGA-PBE.

```
data_BaCdGaPd3
_chemical_formula_sum 'Ba2 Cd2 Ga2 Pd6'
_symmetry_space_group_name_H-M 'P 1'
_symmetry_Int_Tables_number 1
_cell_length_a 7.475
_cell_length_b 7.475
_cell_length_c 6.095
_cell_angle_alpha 90.00
_cell_angle_beta 90.00
_cell_angle_gamma 121.43
loop_
_symmetry_equiv_pos_as_xyz
'x,y,z'
loop_
_atom_site_label
_atom_site_type_symbol
_atom_site_fract_x
_atom_site_fract_y
_atom_site_fract_z
Ba1 Ba 0.222 0.778 0.750
Ba2 Ba 0.778 0.222 0.250
Cd1 Cd 0.496 0.504 0.750
Cd2 Cd 0.504 0.496 0.250
Ga1 Ga 0.110 0.890 0.250
Ga2 Ga 0.890 0.110 0.750
Pd1 Pd 0.193 0.193 0.000
Pd2 Pd 0.193 0.193 0.500
Pd3 Pd 0.297 0.703 0.250
Pd4 Pd 0.703 0.297 0.750
Pd5 Pd 0.807 0.807 0.000
Pd6 Pd 0.807 0.807 0.500
```

DOS at the Fermi energy in states/eV/cell: 4.9
ΔH_f (0 K) in eV/f.u.: -2.470
Total energy in eV/atom: -3.985
Space-group type: No. 63

[7]
This record from Alexandria via LeMat-Bulk describes Ba2CdGa3Pd4 after structural relaxation. The functional is GGA-PBE.

```
data_Ba2CdGa3Pd4
_chemical_formula_sum 'Ba2 Cd1 Ga3 Pd4'
_symmetry_space_group_name_H-M 'P 1'
_symmetry_Int_Tables_number 1
_cell_length_a 4.598
_cell_length_b 4.598
_cell_length_c 10.638
_cell_angle_alpha 90.00
_cell_angle_beta 90.00
_cell_angle_gamma 90.00
loop_
_symmetry_equiv_pos_as_xyz
'x,y,z'
loop_
_atom_site_label
_atom_site_type_symbol
_atom_site_fract_x
_atom_site_fract_y
_atom_site_fract_z
Ba1 Ba 0.000 0.500 0.242
Ba2 Ba 0.500 0.000 0.758
Cd1 Cd 0.000 0.000 0.500
Ga1 Ga 0.000 0.500 0.887
Ga2 Ga 0.500 0.000 0.113
Ga3 Ga 0.500 0.500 0.500
Pd1 Pd 0.000 0.000 0.000
Pd2 Pd 0.000 0.500 0.641
Pd3 Pd 0.500 0.000 0.359
Pd4 Pd 0.500 0.500 0.000
```

DOS at the Fermi energy in states/eV/cell: 5.2
ΔH_f (0 K) in eV/f.u.: -6.270
Total energy in eV/atom: -4.088
Space-group type: No. 115

[8]
This record from Alexandria via LeMat-Bulk describes Ba2Cd6GaPd after structural relaxation. The functional is GGA-PBE.

```
data_Ba2Cd6GaPd
_chemical_formula_sum 'Ba2 Cd6 Ga1 Pd1'
_symmetry_space_group_name_H-M 'P 1'
_symmetry_Int_Tables_number 1
_cell_length_a 7.321
_cell_length_b 7.321
_cell_length_c 7.515
_cell_angle_alpha 118.94
_cell_angle_beta 118.94
_cell_angle_gamma 60.22
loop_
_symmetry_equiv_pos_as_xyz
'x,y,z'
loop_
_atom_site_label
_atom_site_type_symbol
_atom_site_fract_x
_atom_site_fract_y
_atom_site_fract_z
Ba1 Ba 0.210 0.210 0.132
Ba2 Ba 0.790 0.790 0.868
Cd1 Cd 0.248 0.248 0.662
Cd2 Cd 0.249 0.668 0.663
Cd3 Cd 0.332 0.751 0.337
Cd4 Cd 0.668 0.249 0.663
Cd5 Cd 0.751 0.332 0.337
Cd6 Cd 0.752 0.752 0.338
Ga1 Ga 0.500 0.500 0.000
Pd1 Pd 0.000 0.000 0.500
```

DOS at the Fermi energy in states/eV/cell: 5.7
ΔH_f (0 K) in eV/f.u.: -2.643
Total energy in eV/atom: -2.020
Space-group type: No. 12

[9]
This record from Alexandria via LeMat-Bulk describes Ba2CdGaPd6 after structural relaxation. The functional is GGA-PBE.

```
data_Ba2CdGaPd6
_chemical_formula_sum 'Ba2 Cd1 Ga1 Pd6'
_symmetry_space_group_name_H-M 'P 1'
_symmetry_Int_Tables_number 1
_cell_length_a 5.668
_cell_length_b 6.853
_cell_length_c 7.185
_cell_angle_alpha 83.36
_cell_angle_beta 66.80
_cell_angle_gamma 65.58
loop_
_symmetry_equiv_pos_as_xyz
'x,y,z'
loop_
_atom_site_label
_atom_site_type_symbol
_atom_site_fract_x
_atom_site_fract_y
_atom_site_fract_z
Ba1 Ba 0.042 0.212 0.205
Ba2 Ba 0.958 0.788 0.795
Cd1 Cd 0.500 0.500 0.000
Ga1 Ga 0.500 0.000 0.500
Pd1 Pd 0.014 0.249 0.721
Pd2 Pd 0.343 0.406 0.409
Pd3 Pd 0.483 0.751 0.279
Pd4 Pd 0.517 0.249 0.721
Pd5 Pd 0.657 0.594 0.591
Pd6 Pd 0.986 0.751 0.279
```

DOS at the Fermi energy in states/eV/cell: 4.1
ΔH_f (0 K) in eV/f.u.: -5.168
Total energy in eV/atom: -4.411
Space-group type: No. 2

[10]
This record from Alexandria via LeMat-Bulk describes BaCd2GaPt2 after structural relaxation. The functional is GGA-PBE.

```
data_BaCd2GaPt2
_chemical_formula_sum 'Ba1 Cd2 Ga1 Pt2'
_symmetry_space_group_name_H-M 'P 1'
_symmetry_Int_Tables_number 1
_cell_length_a 4.878
_cell_length_b 4.878
_cell_length_c 6.251
_cell_angle_alpha 90.00
_cell_angle_beta 90.00
_cell_angle_gamma 90.00
loop_
_symmetry_equiv_pos_as_xyz
'x,y,z'
loop_
_atom_site_label
_atom_site_type_symbol
_atom_site_fract_x
_atom_site_fract_y
_atom_site_fract_z
Ba1 Ba 0.000 0.000 0.000
Cd1 Cd 0.500 0.500 0.250
Cd2 Cd 0.500 0.500 0.750
Ga1 Ga 0.000 0.000 0.500
Pt1 Pt 0.000 0.500 0.500
Pt2 Pt 0.500 0.000 0.500
```

DOS at the Fermi energy in states/eV/cell: 3.7
ΔH_f (0 K) in eV/f.u.: -2.576
Total energy in eV/atom: -3.573
Space-group type: No. 123

Repeat the seventh record exactly.
This record from Alexandria via LeMat-Bulk describes Ba2CdGa3Pd4 after structural relaxation. The functional is GGA-PBE.

```
data_Ba2CdGa3Pd4
_chemical_formula_sum 'Ba2 Cd1 Ga3 Pd4'
_symmetry_space_group_name_H-M 'P 1'
_symmetry_Int_Tables_number 1
_cell_length_a 4.598
_cell_length_b 4.598
_cell_length_c 10.638
_cell_angle_alpha 90.00
_cell_angle_beta 90.00
_cell_angle_gamma 90.00
loop_
_symmetry_equiv_pos_as_xyz
'x,y,z'
loop_
_atom_site_label
_atom_site_type_symbol
_atom_site_fract_x
_atom_site_fract_y
_atom_site_fract_z
Ba1 Ba 0.000 0.500 0.242
Ba2 Ba 0.500 0.000 0.758
Cd1 Cd 0.000 0.000 0.500
Ga1 Ga 0.000 0.500 0.887
Ga2 Ga 0.500 0.000 0.113
Ga3 Ga 0.500 0.500 0.500
Pd1 Pd 0.000 0.000 0.000
Pd2 Pd 0.000 0.500 0.641
Pd3 Pd 0.500 0.000 0.359
Pd4 Pd 0.500 0.500 0.000
```

DOS at the Fermi energy in states/eV/cell: 5.2
ΔH_f (0 K) in eV/f.u.: -6.270
Total energy in eV/atom: -4.088
Space-group type: No. 115

Q: Among the records above, which one has the highest DOS at the Fermi energy?
A: Ba2CdGa4Pd3